## KV6O8 (PBE+U)

Data for crystalline KV6O8 at its relaxed geometry.

Values from the calculation:
**Total energy**: -7.34 eV/atom

Lattice parameters (Å, degrees): 5.960 5.960 5.960 94.00 94.00 94.00
Fractional coordinates of all 15 atoms:
O 0.409 0.142 0.681
O 0.858 0.319 0.591
O 0.739 0.739 0.739
V 0.628 0.429 0.809
O 0.142 0.681 0.409
O 0.261 0.261 0.261
V 0.429 0.809 0.628
V 0.571 0.191 0.372
O 0.591 0.858 0.319
V 0.372 0.571 0.191
V 0.191 0.372 0.571
O 0.319 0.591 0.858
V 0.809 0.628 0.429
O 0.681 0.409 0.142
K 0.000 0.000 0.000